1.
Here is a relaxed structure of RbCd3Pd from Alexandria via LeMat-Bulk. Energies are from GGA-PBE.

Output
- space group = I-4m2, No. 119
- calculated formation energy (eV per atom) = -0.055
- volume (Å³/atom) = 32.64
- total moment (μB per atom) = 0.000
- mass density (Mg/m³) = 5.4
- raw total energy (eV per atom) = -1.84

```
RbCd3Pd
1.0
-2.995 2.995 9.095
2.995 -2.995 9.095
2.995 2.995 -9.095
Rb Cd Pd
2 6 2
direct
0.177 0.177 0.000 Rb
0.823 0.823 0.000 Rb
0.022 0.522 0.500 Cd
0.132 0.374 0.758 Cd
0.478 0.978 0.500 Cd
0.616 0.374 0.242 Cd
0.626 0.384 0.758 Cd
0.626 0.868 0.242 Cd
0.500 0.500 0.000 Pd
0.750 0.250 0.500 Pd
```

***

2.
Here is a relaxed structure of Rb3La2PuSe6 from Alexandria via LeMat-Bulk. Energies are from GGA-PBE.

Output
- space group = C2/m, No. 12
- volume (Å³/atom) = 33.99
- formation energy (no corrections) (meV/atom) = -1675
- total moment (μB per atom) = 0.417
- mass density (Mg/m³) = 5.1
- raw total energy (eV per atom) = -5.67

```
Rb3La2PuSe6
1.0
3.844 -6.659 0.000
3.844 6.659 0.000
-2.562 0.000 7.969
Rb La Pu Se
3 2 1 6
direct
0.000 0.000 0.000 Rb
0.332 0.668 0.000 Rb
0.668 0.332 0.000 Rb
0.167 0.833 0.500 La
0.833 0.167 0.500 La
0.500 0.500 0.500 Pu
0.107 0.434 0.301 Se
0.240 0.240 0.699 Se
0.434 0.107 0.301 Se
0.566 0.893 0.699 Se
0.760 0.760 0.301 Se
0.893 0.566 0.699 Se
```